Entry 1:
LaTb4Pm2Nd2 | PBE | optimized geometry

Calculated values
Energy of formation = 0.4 kcal/mol of atoms

Lattice parameters (Å, degrees): 5.1340 8.1333 8.1047 107.56 90.00 108.40
With the nearest neighbours (Å) after each atom.
Fractional positions:
1 La 0.0000 0.0000 0.0000  6 Tb 3.63-3.64, 4 Pm 3.65, 2 Nd 3.66
2 Tb 0.4430 0.8859 0.6648  4 Nd 3.60-3.65, 4 Tb 3.60-3.64, 2 La 3.64, 2 Pm 3.64-3.66
3 Tb 0.2221 0.4443 0.3351  3 Nd 3.59-3.63, 5 Tb 3.60-3.62, 3 Pm 3.63-3.64, 1 La 3.63
4 Tb 0.5570 0.1141 0.3352  4 Nd 3.60-3.65, 4 Tb 3.60-3.64, 2 La 3.64, 2 Pm 3.64-3.66
5 Tb 0.7779 0.5557 0.6649  3 Nd 3.59-3.63, 5 Tb 3.60-3.62, 3 Pm 3.63-3.64, 1 La 3.63
6 Nd 0.1112 0.2225 0.6636  7 Tb 3.59-3.65, 1 Nd 3.61, 3 Pm 3.63-3.64, 1 La 3.66
7 Nd 0.8888 0.7775 0.3364  7 Tb 3.59-3.65, 1 Nd 3.61, 3 Pm 3.63-3.64, 1 La 3.66
8 Pm 0.3323 0.6646 0.9999  2 Pm 3.61, 3 Nd 3.63-3.64, 5 Tb 3.63-3.66, 2 La 3.65
9 Pm 0.6677 0.3354 0.0001  2 Pm 3.61, 3 Nd 3.63-3.64, 5 Tb 3.63-3.66, 2 La 3.65



Entry 2:
Pm3Tm2TaN6 | PBE | optimized geometry

Calculated values
Raw formation energy = -1.52 eV/atom

Lattice parameters (Å, degrees): 5.9189 5.9189 5.9962 99.46 99.46 119.96
With the nearest neighbours (Å) after each atom.
Fractional positions:
1 Tm 0.3334 0.6666 0.0000  6 N 2.39-2.40
2 Tm 0.6666 0.3334 0.0000  6 N 2.39-2.40
3 Ta 0.0000 0.0000 0.0000  6 N 2.22-2.24
4 N 0.6160 0.9271 0.7816  1 Ta 2.22, 2 Tm 2.39
5 N 0.7624 0.7624 0.2235  1 Ta 2.24, 2 Tm 2.40, 2 Pm 2.48
6 N 0.0729 0.3840 0.2184  1 Ta 2.22, 2 Tm 2.39
7 N 0.2376 0.2376 0.7765  1 Ta 2.24, 2 Tm 2.40, 2 Pm 2.48
8 N 0.9271 0.6160 0.7816  1 Ta 2.22, 2 Tm 2.39
9 N 0.3840 0.0729 0.2184  1 Ta 2.22, 2 Tm 2.39
10 Pm 0.8328 0.1672 0.5000  6 N 2.48-2.64
11 Pm 0.5000 0.5000 0.5000  6 N 2.49-2.62
12 Pm 0.1672 0.8328 0.5000  6 N 2.48-2.64



Entry 3:
Pr2SmEu | PBE | optimized geometry

Calculated values
Energy of formation = 2.9 kcal/mol of atoms

Lattice parameters (Å, degrees): 3.6451 3.6451 13.1007 82.00 82.00 60.00
With the nearest neighbours (Å) after each atom.
Fractional positions:
1 Pr 0.9096 0.9096 0.2712  1 Eu 3.51, 3 Sm 3.63, 6 Pr 3.65
2 Pr 0.0904 0.0904 0.7288  1 Eu 3.51, 3 Sm 3.63, 6 Pr 3.65
3 Sm 0.5000 0.5000 0.5000  6 Pr 3.63, 6 Sm 3.65
4 Eu 0.0000 0.0000 0.0000  2 Pr 3.51, 6 Eu 3.65



| no. | total magnetization (μB per cell) |
| --- | --- |
| 1 | 0.000 |
| 2 | 0.000 |
| 3 | 7.800 |